Record 1
Cu3Br: relaxed, GGA-PBE.

Values from the calculation:
For the density of states at the Fermi level, the calculation gives 0.005 states/eV per atom. For the raw formation energy, the calculation gives 21.0 kJ per mole of atoms. The calculation puts the energy above the most stable polymorph in this dataset at 0.115 eV per atom.

a b c (Å): 3.492 3.492 5.440
angles (deg): 90.00 90.00 90.00
Space group P4mm (No. 99)
Unique sites:
Cu: 0.000 0.000 0.000
Cu: 0.000 0.500 0.677
Br: 0.500 0.500 0.275


Record 2
La2Mg2Cd15: relaxed, GGA-PBE.

Values from the calculation:
The formation enthalpy at 0 K is -199 meV/atom. For the density of states at the Fermi level, the calculation gives 0.241 states/eV per atom.

a b c (Å): 10.1168 10.1168 15.1138
angles (deg): 90.00 90.00 120.00
Space group R-3m (No. 166, hexagonal axes)
Unique sites:
La: 0.0000 0.0000 0.1652
Mg: 0.0000 0.0000 0.3988
Cd: 0.0000 0.2943 0.5000
Cd: 0.0000 0.5000 0.0000
Cd: 0.0112 0.5056 0.6460


Record 3
Co2NiPd3: relaxed, GGA-PBE.

Values from the calculation:
The formation enthalpy at 0 K is 109 meV/atom. For the density of states at the Fermi level, the calculation gives 1.322 states/eV per atom.

a b c (Å): 5.386 12.880 4.758
angles (deg): 90.00 90.00 90.00
Space group Cmcm (No. 63)
Unique sites:
Co: 0.215 0.000 0.000
Ni: 0.000 0.145 0.250
Pd: 0.000 0.365 0.750
Pd: 0.248 0.177 0.750


no.,uncorrected energy (eV per cell),magnetic moment (μB/f.u.)
1,-13.09,0.00
2,-91.67,0.00
3,-139.66,5.47